A plane-wave DFT calculation with PBE-GGA was carried out for a relaxed structure of Na2FeCuC6N6.

```
Na2FeCuC6N6
1.0
-1.707 -6.543 2.610
-4.491 -0.586 5.659
-6.683 -2.645 -0.936
Na Fe Cu C N
2 1 1 6 6
direct
0.250 0.250 0.250
0.750 0.750 0.750
0.000 0.000 0.000
0.500 0.500 0.500
0.818 0.182 0.182
0.182 0.818 0.818
0.818 0.818 0.182
0.818 0.182 0.818
0.182 0.182 0.818
0.182 0.818 0.182
0.703 0.297 0.703
0.703 0.703 0.297
0.297 0.703 0.703
0.703 0.297 0.297
0.297 0.297 0.703
0.297 0.703 0.297
```

Results
The energy relative to the elements, uncorrected comes out at 178 meV/atom. The value obtained for the excess energy over the best structure of this formula in the dataset is 0.00 eV per formula unit. As for the electronic total energy: -0.2702 Ha/atom. The value obtained for the calculated density is 1.98 g/cm3.

A plane-wave DFT calculation with PBE-GGA was carried out for a relaxed structure of Na3RuRh2O6.

```
Na3RuRh2O6
1.0
5.509 -0.002 0.000
-2.755 4.771 0.000
-0.918 -1.590 5.165
Na Ru Rh O
3 1 2 6
direct
0.168 0.832 0.500
0.832 0.168 0.500
0.500 0.500 0.500
0.000 0.000 0.000
0.333 0.667 0.000
0.667 0.333 0.000
0.934 0.601 0.802
0.733 0.733 0.198
0.066 0.399 0.198
0.601 0.934 0.802
0.267 0.267 0.802
0.399 0.066 0.198
```

Results
The energy relative to the elements, uncorrected comes out at -1084 meV/atom. As for the electronic total energy: -0.2165 Ha/atom. The value obtained for the calculated density is 5.77 g/cm3.

A plane-wave DFT calculation with PBE-GGA was carried out for a relaxed structure of AcErMgSc.

```
AcErMgSc
1.0
-1.173 3.458 -4.212
2.705 -0.495 -4.849
-2.678 -1.901 -4.504
Sc Ac Mg Er
1 1 1 1
direct
0.250 0.250 0.250
0.500 0.500 0.500
0.750 0.750 0.750
0.000 0.000 0.000
```

Results
As for the electronic total energy: -0.1501 Ha/atom. As for the calculated formation energy: 0.07 eV per atom. The value obtained for the calculated density is 6.28 g/cm3.

A plane-wave DFT calculation with PBE-GGA was carried out for a relaxed structure of Nd8Hg2Ge.

```
Nd8Hg2Ge
1.0
-1.370 4.628 -2.239
-3.664 -3.444 -4.878
-5.131 -0.444 8.543
Nd Hg Ge
8 2 1
direct
0.409 0.537 0.818
0.662 0.997 0.324
0.796 0.664 0.593
0.987 0.225 0.974
0.204 0.336 0.407
0.338 0.003 0.676
0.591 0.463 0.182
0.013 0.775 0.026
0.829 0.259 0.657
0.171 0.741 0.343
0.500 0.000 0.000
```

Results
As for the electronic total energy: -0.1552 Ha/atom. As for the calculated formation energy: -0.28 eV per atom. The value obtained for the calculated density is 7.95 g/cm3.

A plane-wave DFT calculation with PBE-GGA was carried out for a relaxed structure of LiPmZnSi2.

```
LiPmZnSi2
1.0
-1.099 1.872 -3.502
-0.818 -3.663 -1.701
-4.011 1.204 4.327
Li Pm Zn Si
1 1 1 2
direct
0.750 0.250 0.500
0.000 0.000 0.000
0.250 0.750 0.500
0.611 0.611 0.223
0.389 0.389 0.777
```

Results
The energy relative to the elements, uncorrected comes out at -493 meV/atom. As for the electronic total energy: -0.1562 Ha/atom. The value obtained for the calculated density is 5.08 g/cm3.

A plane-wave DFT calculation with PBE-GGA was carried out for a relaxed structure of TaCo3S.

```
TaCo3S
1.0
4.526 0.000 0.000
0.000 4.526 0.000
0.000 0.000 4.526
S Co Ta
1 3 1
direct
0.500 0.500 0.500
0.000 0.500 0.000
0.000 0.000 0.500
0.500 0.000 0.000
0.000 0.000 0.000
```

Results
The energy relative to the elements, uncorrected comes out at 1623 meV/atom. The value obtained for the excess energy over the best structure of this formula in the dataset is 6.43 eV per formula unit. As for the electronic total energy: -0.2145 Ha/atom. The value obtained for the calculated density is 6.98 g/cm3.

A plane-wave DFT calculation with PBE-GGA was carried out for a relaxed structure of PrTh2Ga6.

```
PrTh2Ga6
1.0
-1.370 3.413 -2.177
0.930 -3.685 -6.363
-6.491 -0.334 3.562
Pr Th Ga
1 2 6
direct
0.000 0.000 0.000
0.000 0.333 0.667
0.000 0.667 0.333
0.500 0.334 0.334
0.500 0.666 0.666
0.500 0.000 0.666
0.500 0.666 0.000
0.500 0.334 0.000
0.500 0.000 0.334
```

Results
As for the electronic total energy: -0.1786 Ha/atom. As for the calculated formation energy: -0.66 eV per atom. The value obtained for the calculated density is 8.36 g/cm3.

A plane-wave DFT calculation with PBE-GGA was carried out for a relaxed structure of Dy3HoTe3.

```
Dy3HoTe3
1.0
-3.030 -2.766 -7.949
5.774 -2.272 -6.444
0.895 -7.251 -2.851
Dy Ho Te
6 2 6
direct
0.154 0.668 0.256
0.923 0.154 0.256
0.668 0.923 0.256
0.332 0.077 0.744
0.077 0.846 0.744
0.846 0.332 0.744
0.311 0.311 0.067
0.689 0.689 0.933
0.464 0.678 0.756
0.678 0.102 0.756
0.102 0.464 0.756
0.898 0.536 0.244
0.322 0.898 0.244
0.536 0.322 0.244
```

Results
The energy relative to the elements, uncorrected comes out at -998 meV/atom. As for the electronic total energy: -0.1827 Ha/atom. The value obtained for the calculated density is 8.41 g/cm3.

A plane-wave DFT calculation with PBE-GGA was carried out for a relaxed structure of Ba2MgHPd.

```
Ba2MgHPd
1.0
5.942 0.000 0.000
0.000 5.942 0.000
0.000 0.000 3.908
H Mg Ba Pd
1 1 2 1
direct
0.000 0.000 0.000
0.500 0.500 0.500
0.000 0.500 0.000
0.500 0.000 0.000
0.000 0.000 0.500
```

Results
The value obtained for the excess energy over the best structure of this formula in the dataset is 0.02 eV per formula unit. As for the electronic total energy: -0.1119 Ha/atom. The value obtained for the calculated density is 4.89 g/cm3.

A plane-wave DFT calculation with PBE-GGA was carried out for a relaxed structure of SiSb2Te.

```
SiSb2Te
1.0
0.000 3.689 3.689
3.689 0.000 3.689
3.689 3.689 0.000
Sb Si Te
2 1 1
direct
0.250 0.250 0.250
0.750 0.750 0.750
0.000 0.000 0.000
0.500 0.500 0.500
```

Results
The energy relative to the elements, uncorrected comes out at 468 meV/atom. The value obtained for the excess energy over the best structure of this formula in the dataset is 1.53 eV per formula unit. As for the electronic total energy: -0.1372 Ha/atom. The value obtained for the calculated density is 6.60 g/cm3.

A plane-wave DFT calculation with PBE-GGA was carried out for a relaxed structure of RbSnPtCl2.

```
RbSnPtCl2
1.0
-5.123 -1.344 -1.996
2.195 -3.594 -3.212
-0.540 -3.934 4.034
Rb Sn Pt Cl
1 1 1 2
direct
0.000 0.000 0.000
0.500 0.500 0.500
0.000 0.500 0.000
0.000 0.000 0.500
0.500 0.000 0.000
```

Results
The energy relative to the elements, uncorrected comes out at 389 meV/atom. As for the electronic total energy: -0.0938 Ha/atom. The value obtained for the calculated density is 4.60 g/cm3.

A plane-wave DFT calculation with PBE-GGA was carried out for a relaxed structure of Mg2SeCl.

```
Mg2SeCl
1.0
-2.327 1.499 -2.304
-0.889 -3.272 -1.231
-4.962 -0.429 4.735
Cl Mg Se
1 2 1
direct
0.500 0.750 0.750
0.000 0.751 0.040
0.000 0.749 0.460
0.500 0.250 0.250
```

Results
The energy relative to the elements, uncorrected comes out at -890 meV/atom. The value obtained for the excess energy over the best structure of this formula in the dataset is 0.51 eV per formula unit. As for the electronic total energy: -0.1110 Ha/atom. The value obtained for the calculated density is 3.03 g/cm3.